# 1
Computed, not measured: an optimized crystal structure of BaCePb4 at the PBE level of DFT.

a b c (Å): 6.6294 6.6294 6.6294
angles (deg): 60.00 60.00 60.00
Atoms (fractional coordinates):
Ba: 0.0000 0.0000 0.0000
Ce: 0.2500 0.2500 0.2500
Pb: 0.1276 0.6241 0.6241
Pb: 0.6241 0.1276 0.6241
Pb: 0.6241 0.6241 0.1276
Pb: 0.6241 0.6241 0.6241

## Properties
- Space group: F-43m, No. 216

***

# 2
Computed, not measured: an optimized crystal structure of Zn5PdAu8 at the PBE level of DFT.

a b c (Å): 6.8214 6.8214 6.8214
angles (deg): 109.63 109.63 109.15
Atoms (fractional coordinates):
Zn: 0.0000 0.0000 0.0000
Zn: 0.1696 0.2716 0.6461
Zn: 0.4765 0.8304 0.1020
Zn: 0.6256 0.5235 0.3539
Zn: 0.7284 0.3744 0.8980
Pd: 0.2500 0.7500 0.5000
Au: 0.0051 0.6032 0.7401
Au: 0.1780 0.4381 0.0688
Au: 0.3693 0.1092 0.9312
Au: 0.3968 0.1369 0.4019
Au: 0.5619 0.6307 0.7399
Au: 0.7350 0.9949 0.5981
Au: 0.8631 0.2650 0.2599
Au: 0.8908 0.8220 0.2601

## Properties
- Space group: I-4, No. 82

***

# 3
Computed, not measured: an optimized crystal structure of Ba2PuSb3Rh4 at the PBE level of DFT.

a b c (Å): 4.6572 4.6572 11.0866
angles (deg): 90.00 90.00 90.00
Atoms (fractional coordinates):
Ba: 0.0000 0.5000 0.2400
Ba: 0.5000 0.0000 0.7600
Pu: 0.0000 0.0000 0.5000
Sb: 0.0000 0.5000 0.8784
Sb: 0.5000 0.0000 0.1216
Sb: 0.5000 0.5000 0.5000
Rh: 0.0000 0.0000 0.0000
Rh: 0.0000 0.5000 0.6333
Rh: 0.5000 0.0000 0.3667
Rh: 0.5000 0.5000 0.0000

## Properties
- Space group: P-4m2, No. 115
- Formation energy from raw total energies: -0.6804 eV per atom

***

The calculation returns the following final energy values, one per record and in order: -4.036; -2.824; -6.675 eV per atom.
The calculation returns the following Fermi-level density of states values, one per record and in order: 11.99; 2.92; 12.24 states/eV/f.u..